1.
Hg2SbC | GGA-PBEsol | relaxed

Properties
As for the crystal system: tetragonal. As for the raw formation energy: 1.125 eV/atom. The value obtained for the density of states at the Fermi level is 4.19 states/eV per cell.

Structure (extended XYZ):
```
8
Lattice="-3.1216 3.1216 4.6904 3.1216 -3.1216 4.6904 3.1216 3.1216 -4.6904" Properties=species:S:1:pos:R:3 pbc="T T T"
Hg 4.6824 0.8807 -1.1726
Hg 0.8807 1.5608 1.1726
Hg -1.5608 2.2410 3.5178
Hg 2.2410 1.5608 5.8630
Sb 3.1216 0.0000 2.3452
Sb 0.0000 0.0000 4.6904
C 0.0000 0.0000 0.0000
C 0.0000 3.1216 2.3452
```

2.
CsYB4H16 | GGA-PBEsol | relaxed

Properties
As for the crystal system: tetragonal. The value obtained for the density of states at the Fermi level is 0.00 states/eV per cell.

Structure (extended XYZ):
```
44
Lattice="-3.6925 3.6925 8.9364 3.6925 -3.6925 8.9364 3.6925 3.6925 -8.9364" Properties=species:S:1:pos:R:3 pbc="T T T"
Cs 0.0000 1.8463 2.2341
Cs 3.6925 1.8463 6.7023
Y 3.6925 1.8463 -2.2341
Y 0.0000 1.8463 11.1705
B 1.8056 0.9764 -0.9421
B 2.8226 0.0406 3.5262
B 2.8226 3.7331 -3.5262
B 1.8869 -0.9764 7.9944
B 1.8056 4.6689 0.9421
B 0.8699 -0.0406 12.4626
B 0.8699 3.6519 5.4103
B 1.8869 2.7161 9.8785
H 1.5874 0.9298 -2.1670
H 2.8559 0.3423 -0.7346
H 0.8803 0.5212 -0.3115
H 2.1885 -1.0096 3.7336
H 2.1885 2.6829 -3.7336
H 2.7761 0.2589 2.3012
H 5.3554 1.5257 -0.6657
H 4.0130 -0.1834 3.8025
H 2.1051 -0.9298 6.7694
H 2.0296 2.1668 -0.6657
H 0.3205 -0.1834 5.1340
H 2.3675 0.9659 4.1567
H 2.3675 4.6584 -4.1567
H 2.7761 3.9514 -2.3012
H 2.8122 -0.5212 8.6250
H 0.8366 -0.3423 8.2018
H 2.8559 4.0348 0.7346
H 0.8803 4.2137 0.3115
H 0.9164 -0.2589 11.2376
H 1.3250 -0.9659 13.0932
H 1.3250 2.7266 4.7797
H 3.3720 3.8759 3.8025
H 1.6629 1.5257 9.6022
H 1.5874 4.6223 2.1670
H -0.3205 3.8759 5.1340
H -1.6629 2.1668 9.6022
H 0.9164 3.4336 6.6353
H 1.5040 1.0096 12.6700
H 1.5040 4.7021 5.2028
H 2.8122 3.1713 9.2479
H 0.8366 3.3502 9.6710
H 2.1051 2.7627 11.1035
```

Number 1: calculated total energy -21.671 eV per cell. Number 2: calculated total energy -190.840 eV per cell.